Entry 1:
# LaSc PBE-GGA optimized geometry
# E_tot in eV/atom: -5.5441
# Excess energy over the best structure of this formula in the dataset in eV/atom: 0.0306
data_LaSc
_chemical_formula_sum 'La2 Sc2'
_cell_length_a 3.548
_cell_length_b 5.677
_cell_length_c 5.976
_cell_angle_alpha 90.00
_cell_angle_beta 90.04
_cell_angle_gamma 90.00
_symmetry_space_group_name_H-M 'P 1 21/m 1'
_symmetry_Int_Tables_number 11
_symmetry_space_group_name_Hall '-P 2yb'
loop_
_atom_site_label
_atom_site_type_symbol
_atom_site_fract_x
_atom_site_fract_y
_atom_site_fract_z
La1 La 0.249 0.250 0.417
Sc1 Sc 0.251 0.750 0.079

=====

Entry 2:
# LaSc4 PBE-GGA optimized geometry
# E_tot in eV/atom: -5.2580
# Excess energy over the best structure of this formula in the dataset in eV/atom: 0.7143
data_LaSc4
_chemical_formula_sum 'La1 Sc4'
_cell_length_a 5.215
_cell_length_b 5.215
_cell_length_c 5.215
_cell_angle_alpha 90.00
_cell_angle_beta 90.00
_cell_angle_gamma 90.00
_symmetry_space_group_name_H-M 'P m -3 m'
_symmetry_Int_Tables_number 221
_symmetry_space_group_name_Hall '-P 4 2 3'
loop_
_atom_site_label
_atom_site_type_symbol
_atom_site_fract_x
_atom_site_fract_y
_atom_site_fract_z
La1 La 0.000 0.000 0.000
Sc1 Sc 0.000 0.000 0.500
Sc2 Sc 0.500 0.500 0.500

=====

Entry 3:
# LaSc PBE-GGA optimized geometry
# E_tot in eV/atom: -5.1681
# Excess energy over the best structure of this formula in the dataset in eV/atom: 0.4067
data_LaSc
_chemical_formula_sum 'La4 Sc4'
_cell_length_a 6.317
_cell_length_b 6.317
_cell_length_c 6.451
_cell_angle_alpha 90.00
_cell_angle_beta 90.00
_cell_angle_gamma 90.00
_symmetry_space_group_name_H-M 'P 42/m n m'
_symmetry_Int_Tables_number 136
_symmetry_space_group_name_Hall '-P 4n 2n'
loop_
_atom_site_label
_atom_site_type_symbol
_atom_site_fract_x
_atom_site_fract_y
_atom_site_fract_z
La1 La 0.173 0.173 0.000
Sc1 Sc 0.171 0.171 0.500

=====

Entry 4:
# LaSc7 PBE-GGA optimized geometry
# E_tot in eV/atom: -6.0907
data_LaSc7
_chemical_formula_sum 'La4 Sc28'
_cell_length_a 9.366
_cell_length_b 9.366
_cell_length_c 9.366
_cell_angle_alpha 90.00
_cell_angle_beta 90.00
_cell_angle_gamma 90.00
_symmetry_space_group_name_H-M 'F m -3 m'
_symmetry_Int_Tables_number 225
_symmetry_space_group_name_Hall '-F 4 2 3'
loop_
_atom_site_label
_atom_site_type_symbol
_atom_site_fract_x
_atom_site_fract_y
_atom_site_fract_z
La1 La 0.000 0.000 0.000
Sc1 Sc 0.000 0.000 0.500
Sc2 Sc 0.000 0.250 0.250

=====

What did the second record say?
# LaSc4 PBE-GGA optimized geometry
# E_tot in eV/atom: -5.2580
# Excess energy over the best structure of this formula in the dataset in eV/atom: 0.7143
data_LaSc4
_chemical_formula_sum 'La1 Sc4'
_cell_length_a 5.215
_cell_length_b 5.215
_cell_length_c 5.215
_cell_angle_alpha 90.00
_cell_angle_beta 90.00
_cell_angle_gamma 90.00
_symmetry_space_group_name_H-M 'P m -3 m'
_symmetry_Int_Tables_number 221
_symmetry_space_group_name_Hall '-P 4 2 3'
loop_
_atom_site_label
_atom_site_type_symbol
_atom_site_fract_x
_atom_site_fract_y
_atom_site_fract_z
La1 La 0.000 0.000 0.000
Sc1 Sc 0.000 0.000 0.500
Sc2 Sc 0.500 0.500 0.500